Density functional theory data (GGA+U) for a relaxed Ba2Na3MoO6 crystal.

abc: 6.4822 6.4822 5.8777
angles: 99.11 99.11 122.03
Positions (direct):
Ba (0.1723, 0.8277, 0.0000)
Ba (0.8277, 0.1723, 0.0000)
Na (0.0000, 0.0000, 0.5000)
Na (0.3702, 0.6298, 0.5000)
Na (0.6298, 0.3702, 0.5000)
Mo (0.5000, 0.5000, 0.0000)
O (0.1697, 0.4287, 0.7777)
O (0.2980, 0.2980, 0.1967)
O (0.4287, 0.1697, 0.7777)
O (0.5713, 0.8303, 0.2223)
O (0.7020, 0.7020, 0.8033)
O (0.8303, 0.5713, 0.2223)

total energy: -5.652 eV per atom
size of the total moment: 1.000 μB per formula unit
space-group type: C2/m, No. 12
V: 197.88 Å³/f.u.